Entry from the Alexandria database: a geometry-optimized ScTlH3 structure (PBE-GGA).

The space group is No. 221. Its uncorrected energy is -19.5 eV per cell. The density comes out at 6.662 Mg/m³. The calculation puts the polymorph energy (0 for the lowest one) at 0 meV per atom.

Geometry as POSCAR:
```
ScTlH3
1.0
-1.7723 2.4218 2.6095
-2.0804 -3.0700 1.4362
2.8891 -0.7250 2.6351
H Sc Tl
3 1 1
Cartesian
1.4445 -0.3625 1.3175 H
-0.8862 1.2109 1.3048 H
-1.0402 -1.5350 0.7181 H
0.0000 0.0000 0.0000 Sc
-0.4819 -0.6866 3.3404 Tl
```